No. 1
! BePtIN2, optimized geometry, DFT PBEsol; values from VASP
&SYSTEM
  ibrav = 0, nat = 5, ntyp = 4
/
ATOMIC_SPECIES
Be 9.01 Be.upf
Pt 195.08 Pt.upf
I 126.90 I.upf
N 14.01 N.upf
ATOMIC_POSITIONS angstrom
Be 0.000 0.000 0.000
Pt 1.855 1.855 3.815
I 1.855 1.855 0.000
N 0.000 1.855 3.815
N 1.855 0.000 3.815
CELL_PARAMETERS angstrom
3.709 0.000 0.000
0.000 3.709 0.000
0.000 0.000 7.629
! - Density of states at the Fermi level: 0.359 states/eV/atom
! - Total magnetization: 0.00 μB per cell
! - Space-group type: P4/mmm, No. 123
! - Raw formation energy: 1.1480 eV/atom
! - Total energy: -4.809 eV per atom

---

No. 2
! ZrBe2Cl, optimized geometry, DFT PBEsol; values from VASP
&SYSTEM
  ibrav = 0, nat = 8, ntyp = 3
/
ATOMIC_SPECIES
Zr 91.22 Zr.upf
Be 9.01 Be.upf
Cl 35.45 Cl.upf
ATOMIC_POSITIONS angstrom
Zr 0.000 0.000 0.000
Zr 3.274 1.663 0.000
Be 0.985 1.663 4.324
Be 2.211 0.000 3.960
Be 4.259 0.000 4.324
Be 5.485 1.663 3.960
Cl 2.124 0.000 1.744
Cl 5.398 1.663 1.744
CELL_PARAMETERS angstrom
6.548 0.000 0.000
0.000 3.325 0.000
-0.119 0.000 5.785
! - Density of states at the Fermi level: 0.458 states/eV/atom
! - Total magnetization: 0.00 μB per cell
! - Space-group type: Cm, No. 8
! - Raw formation energy: -0.2792 eV/atom
! - Total energy: -5.054 eV per atom

---

No. 3
! TaSiRu2Cl, optimized geometry, DFT PBEsol; values from VASP
&SYSTEM
  ibrav = 0, nat = 5, ntyp = 4
/
ATOMIC_SPECIES
Ta 180.95 Ta.upf
Si 28.09 Si.upf
Ru 101.07 Ru.upf
Cl 35.45 Cl.upf
ATOMIC_POSITIONS angstrom
Ta 0.000 0.000 0.000
Si 2.357 2.357 2.267
Ru 0.000 2.357 0.000
Ru 2.357 0.000 0.000
Cl 0.000 0.000 2.267
CELL_PARAMETERS angstrom
4.714 0.000 0.000
0.000 4.714 0.000
0.000 0.000 4.534
! - Density of states at the Fermi level: 1.064 states/eV/atom
! - Total magnetization: 0.01 μB per cell
! - Space-group type: P4/mmm, No. 123
! - Raw formation energy: 1.3411 eV/atom
! - Total energy: -6.789 eV per atom

---

No. 4
! Sc2ReRu, optimized geometry, DFT PBEsol; values from VASP
&SYSTEM
  ibrav = 0, nat = 8, ntyp = 3
/
ATOMIC_SPECIES
Sc 44.96 Sc.upf
Re 186.21 Re.upf
Ru 101.07 Ru.upf
ATOMIC_POSITIONS angstrom
Sc 1.999 0.000 1.324
Sc 1.740 1.448 4.047
Sc 5.975 0.000 4.047
Sc 6.234 1.448 1.324
Re -0.248 0.000 2.685
Re 3.987 1.448 2.685
Ru 0.000 1.448 0.000
Ru 4.235 0.000 0.000
CELL_PARAMETERS angstrom
8.470 0.000 0.000
0.000 2.897 0.000
-0.496 0.000 5.370
! - Formation energy: 1.49 kcal/mol of atoms
! - Density of states at the Fermi level: 0.818 states/eV/atom
! - Total magnetization: 0.00 μB per cell
! - Space-group type: C2/m, No. 12
! - Total energy: -9.114 eV per atom

---

No. 5
! TlSnPt3, optimized geometry, DFT PBEsol; values from VASP
&SYSTEM
  ibrav = 0, nat = 5, ntyp = 3
/
ATOMIC_SPECIES
Tl 204.38 Tl.upf
Sn 118.71 Sn.upf
Pt 195.08 Pt.upf
ATOMIC_POSITIONS angstrom
Tl 0.000 0.000 0.000
Sn 2.466 2.466 2.466
Pt 0.000 2.466 2.466
Pt 2.466 0.000 2.466
Pt 2.466 2.466 0.000
CELL_PARAMETERS angstrom
4.932 0.000 0.000
0.000 4.932 0.000
0.000 0.000 4.932
! - Formation energy: 19.18 kcal/mol of atoms
! - Density of states at the Fermi level: 1.593 states/eV/atom
! - Total magnetization: 0.00 μB per cell
! - Space-group type: Pm-3m, No. 221
! - Total energy: -4.724 eV per atom

---

No. 6
! CrP2RhCl, optimized geometry, DFT PBEsol; values from VASP
&SYSTEM
  ibrav = 0, nat = 5, ntyp = 4
/
ATOMIC_SPECIES
Cr 52.00 Cr.upf
P 30.97 P.upf
Rh 102.91 Rh.upf
Cl 35.45 Cl.upf
ATOMIC_POSITIONS angstrom
Cr 0.000 0.000 0.000
P 0.000 2.232 2.476
P 2.232 0.000 2.476
Rh 2.232 2.232 2.476
Cl 2.232 2.232 0.000
CELL_PARAMETERS angstrom
4.465 0.000 0.000
0.000 4.465 0.000
0.000 0.000 4.952
! - Density of states at the Fermi level: 0.696 states/eV/atom
! - Total magnetization: 4.27 μB per cell
! - Space-group type: P4/mmm, No. 123
! - Raw formation energy: 0.6224 eV/atom
! - Total energy: -5.772 eV per atom

---

No. 7
! CdCu4Rh, optimized geometry, DFT PBEsol; values from VASP
&SYSTEM
  ibrav = 0, nat = 6, ntyp = 3
/
ATOMIC_SPECIES
Cd 112.41 Cd.upf
Cu 63.55 Cu.upf
Rh 102.91 Rh.upf
ATOMIC_POSITIONS angstrom
Cd 0.000 0.000 0.000
Cu 2.540 2.540 2.540
Cu 4.227 4.227 2.540
Cu 4.227 2.540 4.227
Cu 2.540 4.227 4.227
Rh 5.075 5.075 5.075
CELL_PARAMETERS angstrom
0.000 3.383 3.383
3.383 0.000 3.383
3.383 3.383 0.000
! - Formation energy: 1.08 kcal/mol of atoms
! - Density of states at the Fermi level: 0.519 states/eV/atom
! - Total magnetization: 0.00 μB per cell
! - Space-group type: F-43m, No. 216
! - Total energy: -4.398 eV per atom

---

No. 8
! Mg2CoP2, optimized geometry, DFT PBEsol; values from VASP
&SYSTEM
  ibrav = 0, nat = 10, ntyp = 3
/
ATOMIC_SPECIES
Mg 24.30 Mg.upf
Co 58.93 Co.upf
P 30.97 P.upf
ATOMIC_POSITIONS angstrom
Mg 1.051 1.824 0.000
Mg 1.824 4.698 0.000
Mg 3.925 1.051 0.000
Mg 4.698 3.925 0.000
Co 0.000 0.000 2.196
Co 2.874 2.874 2.196
P 0.791 3.665 2.196
P 2.083 0.791 2.196
P 3.665 4.958 2.196
P 4.958 2.083 2.196
CELL_PARAMETERS angstrom
5.749 0.000 0.000
0.000 5.749 0.000
0.000 0.000 4.391
! - Formation energy: -9.94 kcal/mol of atoms
! - Density of states at the Fermi level: 0.503 states/eV/atom
! - Total magnetization: 0.01 μB per cell
! - Space-group type: P4/mbm, No. 127
! - Total energy: -4.982 eV per atom

---

Q: Number 4 is which compound?
A: Sc2ReRu